# ScNiBr4

An optimized crystal structure of ScNiBr4 (PBE, Alexandria).

Calculated values
Symmetry: F-43m
Calculated total energy in eV/cell: -14.43
Uncorrected formation energy in eV per formula unit: 4.38

a = 6.110 Å, b = 6.110 Å, c = 6.110 Å
α = 60.00°, β = 60.00°, γ = 60.00°
Element x y z (fractional)
Sc (0.000, 0.000, 0.000)
Br (0.375, 0.874, 0.375)
Br (0.874, 0.375, 0.375)
Br (0.375, 0.375, 0.375)
Br (0.375, 0.375, 0.874)
Ni (0.750, 0.750, 0.750)

***

# Ta2ReRh

An optimized crystal structure of Ta2ReRh (PBE, Alexandria).

Calculated values
Symmetry: P2/m
Calculated total energy in eV/cell: -44.30
Formation enthalpy at 0 K in eV per formula unit: -0.79

a = 4.348 Å, b = 2.779 Å, c = 5.492 Å
α = 80.07°, β = 90.00°, γ = 90.00°
Element x y z (fractional)
Ta (0.000, 0.266, 0.755)
Ta (0.000, 0.734, 0.245)
Rh (0.500, 0.000, 0.500)
Re (0.500, 0.500, 0.000)

***

# Ta2ZnGeS

An optimized crystal structure of Ta2ZnGeS (PBE, Alexandria).

Calculated values
Symmetry: P4/mmm
Calculated total energy in eV/cell: -27.79
Uncorrected formation energy in eV per formula unit: 5.93

a = 4.899 Å, b = 4.293 Å, c = 4.899 Å
α = 90.00°, β = 90.00°, γ = 90.00°
Element x y z (fractional)
Zn (0.000, 0.500, 0.000)
Ta (0.000, 0.000, 0.500)
Ta (0.500, 0.000, 0.000)
S (0.500, 0.500, 0.500)
Ge (0.000, 0.000, 0.000)

***

# YCoSe2

An optimized crystal structure of YCoSe2 (PBE, Alexandria).

Calculated values
Symmetry: F-43m
Calculated total energy in eV/cell: -21.25
Uncorrected formation energy in eV per formula unit: -0.71

a = 4.827 Å, b = 4.827 Å, c = 4.827 Å
α = 60.00°, β = 60.00°, γ = 60.00°
Element x y z (fractional)
Se (0.750, 0.750, 0.750)
Se (0.000, 0.000, 0.000)
Co (0.500, 0.500, 0.500)
Y (0.250, 0.250, 0.250)

***

# MgScP2

An optimized crystal structure of MgScP2 (PBE, Alexandria).

Calculated values
Symmetry: P4mm
Calculated total energy in eV/cell: -22.00
Formation enthalpy at 0 K in eV per formula unit: -3.25

a = 3.763 Å, b = 3.763 Å, c = 5.372 Å
α = 90.00°, β = 90.00°, γ = 90.00°
Element x y z (fractional)
Mg (0.500, 0.500, 0.874)
P (0.500, 0.500, 0.375)
P (0.000, 0.000, 0.875)
Sc (0.000, 0.000, 0.375)

***

# NiPt2Rh9

An optimized crystal structure of NiPt2Rh9 (PBE, Alexandria).

Calculated values
Symmetry: P4/mmm
Calculated total energy in eV/cell: -83.96
Formation enthalpy at 0 K in eV per formula unit: 0.07

a = 3.855 Å, b = 3.855 Å, c = 11.522 Å
α = 90.00°, β = 90.00°, γ = 90.00°
Element x y z (fractional)
Pt (0.000, 0.000, 0.669)
Pt (0.000, 0.000, 0.331)
Rh (0.500, 0.500, 0.000)
Rh (0.500, 0.500, 0.669)
Rh (0.500, 0.000, 0.839)
Rh (0.000, 0.500, 0.161)
Rh (0.000, 0.500, 0.839)
Rh (0.500, 0.000, 0.161)
Rh (0.500, 0.500, 0.331)
Rh (0.500, 0.000, 0.500)
Rh (0.000, 0.500, 0.500)
Ni (0.000, 0.000, 0.000)

***

# SnI3Cl4

An optimized crystal structure of SnI3Cl4 (PBE, Alexandria).

Calculated values
Symmetry: Imm2
Calculated total energy in eV/cell: -19.91
Uncorrected formation energy in eV per formula unit: -3.87

a = 10.046 Å, b = 9.730 Å, c = 9.730 Å
α = 35.22°, β = 58.92°, γ = 58.92°
Element x y z (fractional)
Cl (0.622, 0.161, 0.595)
Cl (0.311, 0.736, 0.264)
Cl (0.378, 0.405, 0.839)
Cl (0.689, 0.736, 0.264)
Sn (0.500, 0.508, 0.492)
I (0.817, 0.455, 0.912)
I (0.000, 0.260, 0.740)
I (0.183, 0.088, 0.545)

***

# Tb2Dy2HoMg5

An optimized crystal structure of Tb2Dy2HoMg5 (PBE, Alexandria).

Calculated values
Symmetry: P4/mbm
Calculated total energy in eV/cell: -60.59
Formation enthalpy at 0 K in eV per formula unit: 0.72

a = 5.063 Å, b = 10.555 Å, c = 10.555 Å
α = 90.00°, β = 90.00°, γ = 90.00°
Element x y z (fractional)
Mg (0.500, 0.430, 0.303)
Mg (0.500, 0.697, 0.430)
Mg (0.500, 0.500, 0.000)
Mg (0.500, 0.803, 0.930)
Mg (0.500, 0.570, 0.697)
Mg (0.500, 0.303, 0.570)
Mg (0.500, 0.070, 0.803)
Mg (0.500, 0.930, 0.197)
Mg (0.500, 0.000, 0.500)
Mg (0.500, 0.197, 0.070)
Dy (0.000, 0.381, 0.119)
Dy (0.000, 0.881, 0.381)
Dy (0.000, 0.619, 0.881)
Dy (0.000, 0.119, 0.619)
Tb (0.000, 0.822, 0.678)
Tb (0.000, 0.178, 0.322)
Tb (0.000, 0.678, 0.178)
Tb (0.000, 0.322, 0.822)
Ho (0.000, 0.500, 0.500)
Ho (0.000, 0.000, 0.000)

***

# Cd2Pd7Au3

An optimized crystal structure of Cd2Pd7Au3 (PBE, Alexandria).

Calculated values
Symmetry: Cmmm
E above lowest polymorph in meV/atom: 9
Calculated total energy in eV/cell: -48.54
Formation enthalpy at 0 K in eV per formula unit: -0.52

a = 4.395 Å, b = 4.476 Å, c = 11.496 Å
α = 101.23°, β = 90.00°, γ = 90.00°
Element x y z (fractional)
Cd (0.000, 0.151, 0.301)
Cd (0.000, 0.849, 0.699)
Pd (0.500, 0.927, 0.854)
Pd (0.000, 0.720, 0.440)
Pd (0.000, 0.576, 0.152)
Pd (0.500, 0.073, 0.146)
Pd (0.000, 0.424, 0.848)
Pd (0.000, 0.280, 0.560)
Pd (0.000, 0.000, 0.000)
Au (0.500, 0.500, 0.000)
Au (0.500, 0.350, 0.699)
Au (0.500, 0.650, 0.301)

***

# SrLaInS2

An optimized crystal structure of SrLaInS2 (PBE, Alexandria).

Calculated values
Symmetry: P4/mmm
Calculated total energy in eV/cell: -21.02
Uncorrected formation energy in eV per formula unit: -3.41

a = 5.712 Å, b = 5.712 Å, c = 6.558 Å
α = 90.00°, β = 90.00°, γ = 90.00°
Element x y z (fractional)
S (0.000, 0.500, 0.000)
S (0.500, 0.000, 0.000)
La (0.000, 0.000, 0.000)
In (0.000, 0.000, 0.500)
Sr (0.500, 0.500, 0.500)

***

# TiReNF2

An optimized crystal structure of TiReNF2 (PBE, Alexandria).

Calculated values
Symmetry: P4/mmm
E above lowest polymorph in meV/atom: 133
Calculated total energy in eV/cell: -33.88
Uncorrected formation energy in eV per formula unit: -1.47

a = 4.186 Å, b = 4.186 Å, c = 3.872 Å
α = 90.00°, β = 90.00°, γ = 90.00°
Element x y z (fractional)
Re (0.000, 0.000, 0.000)
F (0.000, 0.500, 0.000)
F (0.500, 0.000, 0.000)
N (0.000, 0.000, 0.500)
Ti (0.500, 0.500, 0.500)

***

# AcLuSnPd

An optimized crystal structure of AcLuSnPd (PBE, Alexandria).

Calculated values
Symmetry: F-43m
Calculated total energy in eV/cell: -20.27
Formation enthalpy at 0 K in eV per formula unit: -2.44

a = 5.369 Å, b = 5.369 Å, c = 5.369 Å
α = 60.00°, β = 60.00°, γ = 60.00°
Element x y z (fractional)
Lu (0.000, 0.000, 0.000)
Sn (0.250, 0.250, 0.250)
Pd (0.750, 0.750, 0.750)
Ac (0.500, 0.500, 0.500)